(1)
Density functional theory data (PBE-GGA) for an optimized crystal structure of Ti5Ga2Pd12.

Crystal system: monoclinic
Uncorrected energy, eV for the cell shown: -114.64
Total magnetic moment, μB/atom: 0.000
ΔH_f (0 K), eV/atom: -0.358
SG: C2/m, No. 12

Structure (extended XYZ):
```
19
Lattice="-3.060 -0.400 -4.419 6.640 -4.020 -0.947 -5.566 -5.126 4.317" Properties=species:S:1:pos:R:3 pbc="T T T"
Pd 0.653 -2.204 -1.859
Pd -3.862 -4.744 -1.831
Pd 1.430 -7.459 -0.316
Pd -1.075 -7.137 3.070
Pd -1.302 -7.435 -1.713
Pd -0.911 -2.408 -4.119
Pd -3.416 -2.086 -0.733
Pd 0.342 -5.001 -1.432
Pd -2.639 -7.341 0.811
Pd 1.876 -4.801 0.783
Pd -0.684 -2.110 0.664
Pd -2.328 -4.544 0.384
Ga -0.772 -0.101 -1.116
Ga -2.287 -0.299 -3.303
Ti -4.734 -5.746 0.511
Ti -2.783 -2.563 2.159
Ti -1.616 -3.314 -1.868
Ti -0.369 -6.231 0.819
Ti 2.748 -3.799 -1.559
```

(2)
Density functional theory data (PBE-GGA) for an optimized crystal structure of NiHg2Te.

Crystal system: tetragonal
Energy relative to the elements, uncorrected, eV/atom: 0.33
Uncorrected energy, eV for the cell shown: -8.21
Total magnetic moment, μB/atom: 0.160
SG: I4/mmm, No. 139

Structure (extended XYZ):
```
4
Lattice="7.110 0.023 0.000 4.943 5.111 0.000 -6.026 -2.567 2.765" Properties=species:S:1:pos:R:3 pbc="T T T"
Te 3.555 0.012 1.383
Hg 6.026 2.567 0.000
Hg 0.000 0.000 0.000
Ni 2.471 2.556 1.383
```